Below is an optimized crystal structure of Na2Sm3TmSe6, with properties calculated at the PBE level.

a = 7.190 Å, b = 7.190 Å, c = 7.222 Å
α = 99.52°, β = 99.52°, γ = 119.94°
Atoms (fractional coordinates):
1 Na 0.335 0.665 0.000
2 Na 0.665 0.335 0.000
3 Sm 0.171 0.829 0.500
4 Sm 0.829 0.171 0.500
5 Sm 0.500 0.500 0.500
6 Tm 0.000 0.000 0.000
7 Se 0.919 0.594 0.756
8 Se 0.759 0.759 0.250
9 Se 0.081 0.406 0.244
10 Se 0.594 0.919 0.756
11 Se 0.241 0.241 0.750
12 Se 0.406 0.081 0.244

Computed properties:
**Space-group type**: C2/m (12)
**Formation energy (no corrections)**: -1.717 eV per atom